[1]
VASP calculation (PBE) on a geometry-optimized TbCd2 structure.

Cell: 8.3048 8.3048 8.3048 Å, 90.00 90.00 90.00°
Space group Fd-3m (No. 227, origin choice 2)
One atom of each set of equivalent atoms:
1 Tb 0.1250 0.1250 0.1250 (multiplicity 8)
2 Cd 0.0000 0.0000 0.5000 (multiplicity 16)

Output
Size of the total moment ... 0.0 μB/cell
E_form ... -0.2743 eV/atom

***

[2]
VASP calculation (PBE) on a geometry-optimized ZnTe structure.

Cell: 5.7636 5.7636 5.7636 Å, 90.00 90.00 90.00°
Space group Fm-3m (No. 225)
One atom of each set of equivalent atoms:
1 Zn 0.0000 0.0000 0.0000 (multiplicity 4)
2 Te 0.0000 0.0000 0.5000 (multiplicity 4)

***

[3]
VASP calculation (PBE) on a geometry-optimized TmSiPd2 structure.

Cell: 7.2163 6.9921 5.4796 Å, 90.00 90.00 90.00°
Space group Pnma (No. 62)
One atom of each set of equivalent atoms:
1 Tm 0.0260 0.2500 0.1396 (multiplicity 4)
2 Si 0.1214 0.7500 0.3614 (multiplicity 4)
3 Pd 0.1795 0.0515 0.5941 (multiplicity 8)

Output
Size of the total moment ... 0.0 μB/cell

***

[4]
VASP calculation (PBE) on a geometry-optimized HfGa2Tc structure.

Cell: 6.4053 6.4053 6.4053 Å, 90.00 90.00 90.00°
Space group F-43m (No. 216)
One atom of each set of equivalent atoms:
1 Hf 0.0000 0.0000 0.0000 (multiplicity 4)
2 Ga 0.0000 0.0000 0.5000 (multiplicity 4)
3 Ga 0.2500 0.2500 0.2500 (multiplicity 4)
4 Tc 0.2500 0.2500 0.7500 (multiplicity 4)

Output
Size of the total moment ... 0.1 μB/cell

***

[5]
VASP calculation (PBE) on a geometry-optimized DySnAuSe3 structure.

Cell: 7.9372 4.0682 10.0511 Å, 90.00 108.23 90.00°
Space group P2_1/m (No. 11)
One atom of each set of equivalent atoms:
1 Dy 0.1916 0.2500 0.1714 (multiplicity 2)
2 Sn 0.2262 0.7500 0.7067 (multiplicity 2)
3 Au 0.3705 0.7500 0.4152 (multiplicity 2)
4 Se 0.0835 0.2500 0.8719 (multiplicity 2)
5 Se 0.1778 0.2500 0.4640 (multiplicity 2)
6 Se 0.4490 0.7500 0.1823 (multiplicity 2)

Output
Size of the total moment ... 0.0 μB/cell

***

[6]
VASP calculation (PBE) on a geometry-optimized Mg2SiPt structure.

Cell: 4.3023 4.3023 8.5471 Å, 90.00 90.00 120.00°
Space group P6_3/mmc (No. 194)
One atom of each set of equivalent atoms:
1 Mg 0.3333 0.6667 0.0838 (multiplicity 4)
2 Si 0.0000 0.0000 0.2500 (multiplicity 2)
3 Pt 0.3333 0.6667 0.7500 (multiplicity 2)

Output
Size of the total moment ... 0.0 μB/cell

***

[7]
VASP calculation (PBE) on a geometry-optimized Rb2InNiBr6 structure.

Cell: 10.7885 10.7885 10.7885 Å, 90.00 90.00 90.00°
Space group Fm-3m (No. 225)
One atom of each set of equivalent atoms:
1 Rb 0.2500 0.2500 0.2500 (multiplicity 8)
2 In 0.0000 0.0000 0.0000 (multiplicity 4)
3 Ni 0.0000 0.0000 0.5000 (multiplicity 4)
4 Br 0.0000 0.0000 0.2610 (multiplicity 24)

Output
Size of the total moment ... 4.6 μB/cell

***

[8]
VASP calculation (PBE) on a geometry-optimized BeGaIr2 structure.

Cell: 3.9661 3.9661 8.1449 Å, 90.00 90.00 120.00°
Space group P6_3/mmc (No. 194)
One atom of each set of equivalent atoms:
1 Be 0.0000 0.0000 0.2500 (multiplicity 2)
2 Ga 0.3333 0.6667 0.2500 (multiplicity 2)
3 Ir 0.3333 0.6667 0.5905 (multiplicity 4)

Output
Size of the total moment ... 0.0 μB/cell

***

no.,total energy (eV/atom)
1,-2.41
2,-2.38
3,-6.06
4,-6.68
5,-4.59
6,-4.27
7,-3.05
8,-6.02